Computed, not measured: a relaxed structure of Rb2HfMnF6 at the GGA+U level of DFT.

Magnetization   5.00 μB per formula unit
VASP energy   -5.832 eV per atom
Crystal system   cubic
ρ   3.68 g cm⁻³

abc: 6.9145 6.9145 6.9145
angles: 60.00 60.00 60.00
Atoms (fractional coordinates):
Rb 0.2500 0.2500 0.2500
Rb 0.7500 0.7500 0.7500
Hf 0.0000 0.0000 0.0000
Mn 0.5000 0.5000 0.5000
F 0.2056 0.2056 0.7944
F 0.2056 0.7944 0.2056
F 0.2056 0.7944 0.7944
F 0.7944 0.2056 0.2056
F 0.7944 0.2056 0.7944
F 0.7944 0.7944 0.2056